(1)
DFT (GGA-PBE) results for an optimized crystal structure of CoHOs2Ru.

Total magnetic moment in Bohr magnetons per cell: 0.0
D(E_F) in states/eV/f.u.: 4.54
SG: P4/mmm (123)
DFT total energy in eV/atom: -8.17
Calculated volume in Å³ per atom: 11.1

a b c (Å): 3.8388 3.8388 3.7770
angles (deg): 90.00 90.00 90.00
Sites, in units of the cell vectors:
1 Co 0.0000 0.0000 0.0000
2 H 0.0000 0.0000 0.5000
3 Os 0.0000 0.5000 0.5000
4 Os 0.5000 0.0000 0.5000
5 Ru 0.5000 0.5000 0.0000

(2)
DFT (GGA-PBE) results for an optimized crystal structure of CoSi2HOs.

Total magnetic moment in Bohr magnetons per cell: 2.8
D(E_F) in states/eV/f.u.: 3.82
SG: P4/mmm (123)
DFT total energy in eV/atom: -5.21
Calculated volume in Å³ per atom: 16.3

a b c (Å): 4.1215 4.1215 4.8105
angles (deg): 90.00 90.00 90.00
Sites, in units of the cell vectors:
1 Co 0.0000 0.0000 0.0000
2 Si 0.0000 0.5000 0.0000
3 Si 0.5000 0.0000 0.0000
4 H 0.5000 0.5000 0.5000
5 Os 0.0000 0.0000 0.5000

(3)
DFT (GGA-PBE) results for an optimized crystal structure of Co2SiHOs.

Total magnetic moment in Bohr magnetons per cell: 0.0
D(E_F) in states/eV/f.u.: 5.36
SG: P4/mmm (123)
DFT total energy in eV/atom: -6.90
Calculated volume in Å³ per atom: 9.8

a b c (Å): 3.5936 3.5936 3.8117
angles (deg): 90.00 90.00 90.00
Sites, in units of the cell vectors:
1 Co 0.0000 0.5000 0.0000
2 Co 0.5000 0.0000 0.0000
3 Si 0.0000 0.0000 0.5000
4 H 0.5000 0.5000 0.0000
5 Os 0.5000 0.5000 0.5000

(4)
DFT (GGA-PBE) results for an optimized crystal structure of Sr2CoHOs.

Total magnetic moment in Bohr magnetons per cell: 1.3
D(E_F) in states/eV/f.u.: 4.71
SG: P4/mmm (123)
DFT total energy in eV/atom: -4.29
Calculated volume in Å³ per atom: 28.3

a b c (Å): 5.7079 5.7079 4.3405
angles (deg): 90.00 90.00 90.00
Sites, in units of the cell vectors:
1 Sr 0.0000 0.5000 0.0000
2 Sr 0.5000 0.0000 0.0000
3 Co 0.0000 0.0000 0.0000
4 H 0.5000 0.5000 0.5000
5 Os 0.0000 0.0000 0.5000

(5)
DFT (GGA-PBE) results for an optimized crystal structure of TaCoHOs2.

Total magnetic moment in Bohr magnetons per cell: 0.0
D(E_F) in states/eV/f.u.: 2.56
Energy above the most stable polymorph in this dataset in meV/atom: 110.6
SG: P4/mmm (123)
DFT total energy in eV/atom: -8.97
Calculated volume in Å³ per atom: 11.9

a b c (Å): 3.8626 3.8626 3.9821
angles (deg): 90.00 90.00 90.00
Sites, in units of the cell vectors:
1 Ta 0.0000 0.0000 0.0000
2 Co 0.5000 0.5000 0.0000
3 H 0.0000 0.0000 0.5000
4 Os 0.0000 0.5000 0.5000
5 Os 0.5000 0.0000 0.5000

(6)
DFT (GGA-PBE) results for an optimized crystal structure of TaCoHOs2.

Total magnetic moment in Bohr magnetons per cell: 0.0
D(E_F) in states/eV/f.u.: 3.11
Energy above the most stable polymorph in this dataset in meV/atom: 0.0
SG: P4/mmm (123)
DFT total energy in eV/atom: -9.08
Calculated volume in Å³ per atom: 11.8

a b c (Å): 3.9339 3.9339 3.7983
angles (deg): 90.00 90.00 90.00
Sites, in units of the cell vectors:
1 Ta 0.0000 0.0000 0.0000
2 Co 0.5000 0.5000 0.0000
3 H 0.5000 0.5000 0.5000
4 Os 0.0000 0.5000 0.5000
5 Os 0.5000 0.0000 0.5000

(7)
DFT (GGA-PBE) results for an optimized crystal structure of Ta2CoHOs.

Total magnetic moment in Bohr magnetons per cell: 0.2
D(E_F) in states/eV/f.u.: 5.11
Energy above the most stable polymorph in this dataset in meV/atom: 0.0
SG: P4/mmm (123)
DFT total energy in eV/atom: -9.26
Calculated volume in Å³ per atom: 12.6

a b c (Å): 4.1911 4.1911 3.5795
angles (deg): 90.00 90.00 90.00
Sites, in units of the cell vectors:
1 Ta 0.0000 0.5000 0.0000
2 Ta 0.5000 0.0000 0.0000
3 Co 0.0000 0.0000 0.5000
4 H 0.0000 0.0000 0.0000
5 Os 0.5000 0.5000 0.5000

(8)
DFT (GGA-PBE) results for an optimized crystal structure of Ta2CoHOs.

Total magnetic moment in Bohr magnetons per cell: 0.0
D(E_F) in states/eV/f.u.: 4.02
Energy above the most stable polymorph in this dataset in meV/atom: 115.2
SG: P4/mmm (123)
DFT total energy in eV/atom: -9.14
Calculated volume in Å³ per atom: 12.7

a b c (Å): 4.1357 4.1357 3.7227
angles (deg): 90.00 90.00 90.00
Sites, in units of the cell vectors:
1 Ta 0.0000 0.5000 0.0000
2 Ta 0.5000 0.0000 0.0000
3 Co 0.0000 0.0000 0.5000
4 H 0.5000 0.5000 0.0000
5 Os 0.5000 0.5000 0.5000

(9)
DFT (GGA-PBE) results for an optimized crystal structure of Co2TcHOs.

Total magnetic moment in Bohr magnetons per cell: 1.5
D(E_F) in states/eV/f.u.: 4.28
Energy above the most stable polymorph in this dataset in meV/atom: 26.4
SG: P4/mmm (123)
DFT total energy in eV/atom: -7.68
Calculated volume in Å³ per atom: 10.4

a b c (Å): 3.7107 3.7107 3.7896
angles (deg): 90.00 90.00 90.00
Sites, in units of the cell vectors:
1 Co 0.0000 0.5000 0.0000
2 Co 0.5000 0.0000 0.0000
3 Tc 0.0000 0.0000 0.5000
4 H 0.5000 0.5000 0.0000
5 Os 0.5000 0.5000 0.5000

(10)
DFT (GGA-PBE) results for an optimized crystal structure of Co2TcHOs.

Total magnetic moment in Bohr magnetons per cell: 1.4
D(E_F) in states/eV/f.u.: 4.71
Energy above the most stable polymorph in this dataset in meV/atom: 0.0
SG: P4/mmm (123)
DFT total energy in eV/atom: -7.71
Calculated volume in Å³ per atom: 10.4

a b c (Å): 3.6934 3.6934 3.8120
angles (deg): 90.00 90.00 90.00
Sites, in units of the cell vectors:
1 Co 0.0000 0.5000 0.0000
2 Co 0.5000 0.0000 0.0000
3 Tc 0.0000 0.0000 0.5000
4 H 0.0000 0.0000 0.0000
5 Os 0.5000 0.5000 0.5000

(11)
DFT (GGA-PBE) results for an optimized crystal structure of CoTcHOs2.

Total magnetic moment in Bohr magnetons per cell: 0.0
D(E_F) in states/eV/f.u.: 3.36
SG: P4/mmm (123)
DFT total energy in eV/atom: -8.47
Calculated volume in Å³ per atom: 11.2

a b c (Å): 3.8639 3.8639 3.7530
angles (deg): 90.00 90.00 90.00
Sites, in units of the cell vectors:
1 Co 0.0000 0.0000 0.0000
2 Tc 0.5000 0.5000 0.0000
3 H 0.0000 0.0000 0.5000
4 Os 0.0000 0.5000 0.5000
5 Os 0.5000 0.0000 0.5000

(12)
DFT (GGA-PBE) results for an optimized crystal structure of TiCo2HOs.

Total magnetic moment in Bohr magnetons per cell: 0.0
D(E_F) in states/eV/f.u.: 4.53
Energy above the most stable polymorph in this dataset in meV/atom: 19.0
SG: P4/mmm (123)
DFT total energy in eV/atom: -7.53
Calculated volume in Å³ per atom: 10.5

a b c (Å): 3.6926 3.6926 3.8360
angles (deg): 90.00 90.00 90.00
Sites, in units of the cell vectors:
1 Ti 0.0000 0.0000 0.0000
2 Co 0.0000 0.5000 0.5000
3 Co 0.5000 0.0000 0.5000
4 H 0.5000 0.5000 0.5000
5 Os 0.5000 0.5000 0.0000

(13)
DFT (GGA-PBE) results for an optimized crystal structure of TiCo2HOs.

Total magnetic moment in Bohr magnetons per cell: 0.0
D(E_F) in states/eV/f.u.: 4.10
Energy above the most stable polymorph in this dataset in meV/atom: 0.0
SG: P4/mmm (123)
DFT total energy in eV/atom: -7.55
Calculated volume in Å³ per atom: 10.4

a b c (Å): 3.6444 3.6444 3.8992
angles (deg): 90.00 90.00 90.00
Sites, in units of the cell vectors:
1 Ti 0.0000 0.0000 0.0000
2 Co 0.0000 0.5000 0.5000
3 Co 0.5000 0.0000 0.5000
4 H 0.0000 0.0000 0.5000
5 Os 0.5000 0.5000 0.0000

(14)
DFT (GGA-PBE) results for an optimized crystal structure of Ti2CoHOs.

Total magnetic moment in Bohr magnetons per cell: 0.4
D(E_F) in states/eV/f.u.: 3.70
Energy above the most stable polymorph in this dataset in meV/atom: 0.0
SG: P4/mmm (123)
DFT total energy in eV/atom: -7.96
Calculated volume in Å³ per atom: 11.6

a b c (Å): 4.2284 4.2284 3.2528
angles (deg): 90.00 90.00 90.00
Sites, in units of the cell vectors:
1 Ti 0.0000 0.5000 0.0000
2 Ti 0.5000 0.0000 0.0000
3 Co 0.0000 0.0000 0.5000
4 H 0.0000 0.0000 0.0000
5 Os 0.5000 0.5000 0.5000

(15)
DFT (GGA-PBE) results for an optimized crystal structure of Ti2CoHOs.

Total magnetic moment in Bohr magnetons per cell: 0.0
D(E_F) in states/eV/f.u.: 3.53
Energy above the most stable polymorph in this dataset in meV/atom: 174.4
SG: P4/mmm (123)
DFT total energy in eV/atom: -7.78
Calculated volume in Å³ per atom: 11.9

a b c (Å): 4.1316 4.1316 3.4986
angles (deg): 90.00 90.00 90.00
Sites, in units of the cell vectors:
1 Ti 0.0000 0.5000 0.0000
2 Ti 0.5000 0.0000 0.0000
3 Co 0.0000 0.0000 0.5000
4 H 0.5000 0.5000 0.0000
5 Os 0.5000 0.5000 0.5000

(16)
DFT (GGA-PBE) results for an optimized crystal structure of TlCo2HOs.

Total magnetic moment in Bohr magnetons per cell: 0.0
D(E_F) in states/eV/f.u.: 4.94
SG: P4/mmm (123)
DFT total energy in eV/atom: -5.24
Calculated volume in Å³ per atom: 14.6

a b c (Å): 4.5906 4.5906 3.4580
angles (deg): 90.00 90.00 90.00
Sites, in units of the cell vectors:
1 Tl 0.0000 0.0000 0.0000
2 Co 0.0000 0.5000 0.5000
3 Co 0.5000 0.0000 0.5000
4 H 0.5000 0.5000 0.0000
5 Os 0.5000 0.5000 0.5000

(17)
DFT (GGA-PBE) results for an optimized crystal structure of CoHOsW2.

Total magnetic moment in Bohr magnetons per cell: 0.0
D(E_F) in states/eV/f.u.: 2.76
SG: P4/mmm (123)
DFT total energy in eV/atom: -9.44
Calculated volume in Å³ per atom: 11.8

a b c (Å): 3.9675 3.9675 3.7497
angles (deg): 90.00 90.00 90.00
Sites, in units of the cell vectors:
1 Co 0.0000 0.0000 0.0000
2 H 0.0000 0.0000 0.5000
3 Os 0.5000 0.5000 0.0000
4 W 0.0000 0.5000 0.5000
5 W 0.5000 0.0000 0.5000

(18)
DFT (GGA-PBE) results for an optimized crystal structure of Co2HOsW.

Total magnetic moment in Bohr magnetons per cell: 0.7
D(E_F) in states/eV/f.u.: 2.46
Energy above the most stable polymorph in this dataset in meV/atom: 0.0
SG: P4/mmm (123)
DFT total energy in eV/atom: -8.31
Calculated volume in Å³ per atom: 10.6

a b c (Å): 3.7318 3.7318 3.8188
angles (deg): 90.00 90.00 90.00
Sites, in units of the cell vectors:
1 Co 0.0000 0.5000 0.0000
2 Co 0.5000 0.0000 0.0000
3 H 0.0000 0.0000 0.0000
4 Os 0.0000 0.0000 0.5000
5 W 0.5000 0.5000 0.5000

(19)
DFT (GGA-PBE) results for an optimized crystal structure of Co2HOsW.

Total magnetic moment in Bohr magnetons per cell: 0.9
D(E_F) in states/eV/f.u.: 3.56
Energy above the most stable polymorph in this dataset in meV/atom: 35.2
SG: P4/mmm (123)
DFT total energy in eV/atom: -8.28
Calculated volume in Å³ per atom: 10.7

a b c (Å): 3.6967 3.6967 3.9045
angles (deg): 90.00 90.00 90.00
Sites, in units of the cell vectors:
1 Co 0.0000 0.5000 0.0000
2 Co 0.5000 0.0000 0.0000
3 H 0.0000 0.0000 0.0000
4 Os 0.5000 0.5000 0.5000
5 W 0.0000 0.0000 0.5000

(20)
DFT (GGA-PBE) results for an optimized crystal structure of Y2CoHOs.

Total magnetic moment in Bohr magnetons per cell: 0.0
D(E_F) in states/eV/f.u.: 2.02
SG: P4/mmm (123)
DFT total energy in eV/atom: -7.14
Calculated volume in Å³ per atom: 15.9

a b c (Å): 4.8270 4.8270 3.4197
angles (deg): 90.00 90.00 90.00
Sites, in units of the cell vectors:
1 Y 0.0000 0.5000 0.0000
2 Y 0.5000 0.0000 0.0000
3 Co 0.0000 0.0000 0.5000
4 H 0.0000 0.0000 0.0000
5 Os 0.5000 0.5000 0.5000